# GGA-PBE LuPuSb2, relaxed
# **Total energy**: -7.4187 eV per atom
# **Raw formation energy**: -644 meV/atom
# **ρ**: 10.50 g/cm3
# **V**: 104.8 Å³ per cell
# **Crystal system**: tetragonal
# **Fermi-level density of states**: 8.0 states/eV per cell
# **Excess energy over the best structure of this formula in the dataset**: 163.2 meV per atom
data_LuPuSb2
_cell_length_a 3.961
_cell_length_b 3.961
_cell_length_c 6.679
_cell_angle_alpha 90.00
_cell_angle_beta 90.00
_cell_angle_gamma 90.00
_space_group_name_H-M_alt 'P 1'
_space_group_IT_number 1
loop_
_space_group_symop_operation_xyz
'x,y,z'
loop_
_atom_site_label
_atom_site_type_symbol
_atom_site_fract_x
_atom_site_fract_y
_atom_site_fract_z
_atom_site_occupancy
Sb1 Sb 0.000 0.000 0.755 1
Sb2 Sb 0.000 0.000 0.245 1
Lu1 Lu 0.500 0.500 0.000 1
Pu1 Pu 0.500 0.500 0.500 1


# GGA-PBE LuPu2Sb, relaxed
# **Total energy**: -9.4388 eV per atom
# **Raw formation energy**: -112 meV/atom
# **ρ**: 12.14 g/cm3
# **V**: 107.3 Å³ per cell
# **Crystal system**: cubic
# **Fermi-level density of states**: 12.2 states/eV per cell
# **Excess energy over the best structure of this formula in the dataset**: 281.4 meV per atom
data_LuPu2Sb
_cell_length_a 5.334
_cell_length_b 5.334
_cell_length_c 5.334
_cell_angle_alpha 60.00
_cell_angle_beta 60.00
_cell_angle_gamma 60.00
_space_group_name_H-M_alt 'P 1'
_space_group_IT_number 1
loop_
_space_group_symop_operation_xyz
'x,y,z'
loop_
_atom_site_label
_atom_site_type_symbol
_atom_site_fract_x
_atom_site_fract_y
_atom_site_fract_z
_atom_site_occupancy
Sb1 Sb 0.500 0.500 0.500 1
Lu1 Lu 0.000 0.000 0.000 1
Pu1 Pu 0.250 0.250 0.250 1
Pu2 Pu 0.750 0.750 0.750 1


# GGA-PBE LuPu2Sb, relaxed
# **Total energy**: -9.7202 eV per atom
# **Raw formation energy**: -393 meV/atom
# **ρ**: 12.63 g/cm3
# **V**: 103.2 Å³ per cell
# **Crystal system**: tetragonal
# **Fermi-level density of states**: 10.4 states/eV per cell
# **Excess energy over the best structure of this formula in the dataset**: 0.0 meV per atom
data_LuPu2Sb
_cell_length_a 5.018
_cell_length_b 4.534
_cell_length_c 4.534
_cell_angle_alpha 90.00
_cell_angle_beta 90.00
_cell_angle_gamma 90.00
_space_group_name_H-M_alt 'P 1'
_space_group_IT_number 1
loop_
_space_group_symop_operation_xyz
'x,y,z'
loop_
_atom_site_label
_atom_site_type_symbol
_atom_site_fract_x
_atom_site_fract_y
_atom_site_fract_z
_atom_site_occupancy
Sb1 Sb 0.500 0.000 0.000 1
Lu1 Lu 0.500 0.500 0.500 1
Pu1 Pu 0.000 0.000 0.500 1
Pu2 Pu 0.000 0.500 0.000 1


# GGA-PBE LuPuTlSb, relaxed
# **Total energy**: -6.6618 eV per atom
# **Raw formation energy**: -326 meV/atom
# **ρ**: 11.63 g/cm3
# **V**: 106.4 Å³ per cell
# **Crystal system**: cubic
# **Fermi-level density of states**: 11.5 states/eV per cell
data_LuPuTlSb
_cell_length_a 5.319
_cell_length_b 5.319
_cell_length_c 5.319
_cell_angle_alpha 60.00
_cell_angle_beta 60.00
_cell_angle_gamma 60.00
_space_group_name_H-M_alt 'P 1'
_space_group_IT_number 1
loop_
_space_group_symop_operation_xyz
'x,y,z'
loop_
_atom_site_label
_atom_site_type_symbol
_atom_site_fract_x
_atom_site_fract_y
_atom_site_fract_z
_atom_site_occupancy
Sb1 Sb 0.500 0.500 0.500 1
Tl1 Tl 0.000 0.000 0.000 1
Lu1 Lu 0.750 0.750 0.750 1
Pu1 Pu 0.250 0.250 0.250 1


Q: Among the records above, which one has the lowest ρ?
A: LuPuSb2


Copy entry 2 word for word.
# GGA-PBE LuPu2Sb, relaxed
# **Total energy**: -9.4388 eV per atom
# **Raw formation energy**: -112 meV/atom
# **ρ**: 12.14 g/cm3
# **V**: 107.3 Å³ per cell
# **Crystal system**: cubic
# **Fermi-level density of states**: 12.2 states/eV per cell
# **Excess energy over the best structure of this formula in the dataset**: 281.4 meV per atom
data_LuPu2Sb
_cell_length_a 5.334
_cell_length_b 5.334
_cell_length_c 5.334
_cell_angle_alpha 60.00
_cell_angle_beta 60.00
_cell_angle_gamma 60.00
_space_group_name_H-M_alt 'P 1'
_space_group_IT_number 1
loop_
_space_group_symop_operation_xyz
'x,y,z'
loop_
_atom_site_label
_atom_site_type_symbol
_atom_site_fract_x
_atom_site_fract_y
_atom_site_fract_z
_atom_site_occupancy
Sb1 Sb 0.500 0.500 0.500 1
Lu1 Lu 0.000 0.000 0.000 1
Pu1 Pu 0.250 0.250 0.250 1
Pu2 Pu 0.750 0.750 0.750 1


Copy entry 1 word for word.
# GGA-PBE LuPuSb2, relaxed
# **Total energy**: -7.4187 eV per atom
# **Raw formation energy**: -644 meV/atom
# **ρ**: 10.50 g/cm3
# **V**: 104.8 Å³ per cell
# **Crystal system**: tetragonal
# **Fermi-level density of states**: 8.0 states/eV per cell
# **Excess energy over the best structure of this formula in the dataset**: 163.2 meV per atom
data_LuPuSb2
_cell_length_a 3.961
_cell_length_b 3.961
_cell_length_c 6.679
_cell_angle_alpha 90.00
_cell_angle_beta 90.00
_cell_angle_gamma 90.00
_space_group_name_H-M_alt 'P 1'
_space_group_IT_number 1
loop_
_space_group_symop_operation_xyz
'x,y,z'
loop_
_atom_site_label
_atom_site_type_symbol
_atom_site_fract_x
_atom_site_fract_y
_atom_site_fract_z
_atom_site_occupancy
Sb1 Sb 0.000 0.000 0.755 1
Sb2 Sb 0.000 0.000 0.245 1
Lu1 Lu 0.500 0.500 0.000 1
Pu1 Pu 0.500 0.500 0.500 1


Q: Which of these has the highest raw formation energy?
A: number 2